# 1
Here is a geometry-optimized PrDy3Y structure from Alexandria. Energies are from PBE-GGA.

## Properties
Total magnetic moment (μB per formula unit): 0.0
Formation energy (eV/atom): 0.332

Cell: 3.6482 8.6205 11.6321 Å, 90.00 90.00 102.21°
Last column: nearest neighbours and their distance in Å.
Positions (direct):
Pr 0.6922 0.8845 0.7500  6 Dy 3.28-3.51, 2 Y 3.46, 2 Pr 3.65
Y 0.9818 0.4638 0.2500  2 Dy 3.31, 2 Pr 3.46, 2 Y 3.65
Y 0.0182 0.5362 0.7500  2 Dy 3.31, 2 Pr 3.46, 2 Y 3.65
Pr 0.3078 0.1155 0.2500  6 Dy 3.28-3.51, 2 Y 3.46, 2 Pr 3.65
Dy 0.1541 0.8085 0.0020  6 Dy 3.42-3.71, 2 Pr 3.51, 1 Y 3.72
Dy 0.8459 0.1915 0.5020  6 Dy 3.42-3.71, 2 Pr 3.51, 1 Y 3.72
Dy 0.8459 0.1915 0.9980  6 Dy 3.42-3.71, 2 Pr 3.51, 1 Y 3.72
Dy 0.1541 0.8085 0.4980  6 Dy 3.42-3.71, 2 Pr 3.51, 1 Y 3.72
Dy 0.3540 0.2078 0.7500  2 Pr 3.28, 2 Y 3.31, 6 Dy 3.42-3.65
Dy 0.6460 0.7922 0.2500  2 Pr 3.28, 2 Y 3.31, 6 Dy 3.42-3.65

# 2
Here is a geometry-optimized Pr2DyY9 structure from Alexandria. Energies are from PBE-GGA.

## Properties
Total magnetic moment (μB per formula unit): 0.0
Formation energy (eV/atom): 0.024

Cell: 5.0826 5.0826 15.2411 Å, 90.00 90.00 90.00°
Last column: nearest neighbours and their distance in Å.
Positions (direct):
Y 0.5000 0.0000 0.8358  2 Dy 3.57, 8 Y 3.57-3.60, 2 Pr 3.61
Y 0.0000 0.5000 0.5000  8 Y 3.59-3.61, 4 Pr 3.60
Pr 0.0000 0.0000 0.6673  12 Y 3.59-3.61
Y 0.5000 0.5000 0.6682  4 Pr 3.59, 8 Y 3.60-3.61
Y 0.5000 0.5000 0.0000  8 Y 3.57, 4 Dy 3.59
Y 0.5000 0.0000 0.1642  2 Dy 3.57, 8 Y 3.57-3.60, 2 Pr 3.61
Y 0.5000 0.5000 0.3318  4 Pr 3.59, 8 Y 3.60-3.61
Dy 0.0000 0.0000 0.0000  12 Y 3.57-3.59
Y 0.0000 0.5000 0.1642  2 Dy 3.57, 8 Y 3.57-3.60, 2 Pr 3.61
Pr 0.0000 0.0000 0.3327  12 Y 3.59-3.61
Y 0.5000 0.0000 0.5000  8 Y 3.59-3.61, 4 Pr 3.60
Y 0.0000 0.5000 0.8358  8 Y 3.57-3.60, 2 Dy 3.57, 2 Pr 3.61

# 3
Here is a geometry-optimized Pr5Dy5Y2 structure from Alexandria. Energies are from PBE-GGA.

## Properties
Total magnetic moment (μB per formula unit): 0.0
Formation energy (eV/atom): 0.018

Cell: 5.1132 10.8547 8.1073 Å, 98.65 71.62 76.38°
Last column: nearest neighbours and their distance in Å.
Positions (direct):
Pr 0.9991 0.2499 0.7518  3 Y 3.60-3.62, 6 Dy 3.61-3.63, 3 Pr 3.61-3.64
Pr 0.0000 0.0000 0.0000  4 Pr 3.61-3.62, 8 Dy 3.62-3.63
Pr 0.3331 0.7492 0.5846  2 Y 3.60-3.63, 7 Dy 3.61-3.63, 3 Pr 3.62-3.64
Dy 0.0000 0.5000 0.5000  2 Dy 3.61, 6 Pr 3.61-3.63, 4 Y 3.62
Pr 0.6669 0.2508 0.4154  2 Y 3.60-3.63, 7 Dy 3.61-3.63, 3 Pr 3.62-3.64
Dy 0.3322 0.2517 0.0839  3 Y 3.60-3.62, 3 Dy 3.61-3.64, 6 Pr 3.61-3.63
Dy 0.6669 0.0002 0.6660  4 Dy 3.61-3.64, 8 Pr 3.61-3.63
Dy 0.6678 0.7483 0.9161  3 Y 3.60-3.62, 3 Dy 3.61-3.64, 6 Pr 3.61-3.63
Dy 0.3331 0.9998 0.3340  4 Dy 3.61-3.64, 8 Pr 3.61-3.63
Pr 0.0009 0.7501 0.2482  3 Y 3.60-3.62, 6 Dy 3.61-3.63, 3 Pr 3.61-3.64
Y 0.6673 0.4990 0.1665  5 Dy 3.60-3.62, 5 Pr 3.60-3.63, 2 Y 3.62
Y 0.3327 0.5010 0.8335  5 Dy 3.60-3.62, 5 Pr 3.60-3.63, 2 Y 3.62

# 4
Here is a geometry-optimized Pr4Dy2Y3 structure from Alexandria. Energies are from PBE-GGA.

## Properties
Total magnetic moment (μB per formula unit): 0.0
Formation energy (eV/atom): 0.057

Cell: 5.7400 5.7401 10.6504 Å, 90.01 90.00 60.00°
Last column: nearest neighbours and their distance in Å.
Positions (direct):
Y 0.0000 0.0000 0.0000  8 Pr 3.58-3.75, 6 Dy 3.77
Y 0.6667 0.6666 0.5026  3 Y 3.31, 1 Pr 3.55, 1 Dy 3.56
Pr 0.6667 0.6670 0.8359  4 Dy 3.31-3.55, 1 Y 3.55
Pr 0.3333 0.3330 0.1641  4 Dy 3.31-3.55, 1 Y 3.55
Pr 0.0000 0.9999 0.3363  4 Pr 3.49-3.79, 7 Y 3.58-3.76, 3 Dy 3.76-3.77
Dy 0.6667 0.6662 0.1688  4 Pr 3.31-3.55, 1 Y 3.56
Y 0.3333 0.3334 0.4974  3 Y 3.31, 1 Pr 3.55, 1 Dy 3.56
Pr 0.0000 0.0001 0.6637  4 Pr 3.49-3.79, 7 Y 3.58-3.76, 3 Dy 3.76-3.77
Dy 0.3333 0.3338 0.8312  4 Pr 3.31-3.55, 1 Y 3.56

What is the formula in the second record? Pr2DyY9

Among the records above, which one has the lowest formation energy? Pr5Dy5Y2

formation energy of number 3 (Pr5Dy5Y2)? 0.018 eV/atom